Entry 1:
Computed, not measured: an optimized crystal structure of AlFeCo2 at the PBE level of DFT.

**V**: 46.79 Å³/f.u.
**Density of states at the Fermi level**: 0.681 states/eV per atom
**Crystal system**: monoclinic
**E_form**: -0.244 eV/atom
**Raw total energy**: -27.39 eV per formula unit
**M_tot**: 5.3 Bohr magnetons per cell

a b c (Å): 4.7073 4.7073 3.9452
angles (deg): 114.57 114.57 36.54
Closest atoms and distances in Å follow each position.
Element x y z (fractional)
Al: 0.0000 0.0000 0.0000  6 Co 2.46-2.50, 2 Fe 2.54
Fe: 0.2423 0.2423 0.7419  6 Co 2.44-2.46, 2 Al 2.54
Co: 0.5002 0.5002 0.5002  2 Fe 2.44, 4 Al 2.46, 2 Co 2.48
Co: 0.7516 0.7516 0.2511  4 Fe 2.46, 2 Co 2.48, 2 Al 2.50



Entry 2:
Computed, not measured: an optimized crystal structure of Al2FeCo at the PBE level of DFT.

**V**: 49.06 Å³/f.u.
**Density of states at the Fermi level**: 0.701 states/eV per atom
**Crystal system**: orthorhombic
**E_form**: -0.335 eV/atom
**Raw total energy**: -24.39 eV per formula unit
**M_tot**: 2.2 Bohr magnetons per cell

a b c (Å): 4.9317 4.9317 4.9317
angles (deg): 146.44 131.69 60.10
Closest atoms and distances in Å follow each position.
Element x y z (fractional)
Al: 0.0000 0.0000 0.0000  4 Fe 2.48, 2 Co 2.50, 4 Al 2.77
Al: 0.7221 0.2221 0.5000  4 Co 2.47, 2 Fe 2.54, 4 Al 2.77
Fe: 0.4754 0.4754 0.0000  2 Co 2.46, 6 Al 2.48-2.54
Co: 0.2406 0.7406 0.5000  2 Fe 2.46, 6 Al 2.47-2.50



Entry 3:
Computed, not measured: an optimized crystal structure of Al2FeCo2 at the PBE level of DFT.

**V**: 60.53 Å³/f.u.
**Density of states at the Fermi level**: 1.501 states/eV per atom
**Crystal system**: tetragonal
**Energy above the most stable polymorph in this dataset**: 0.000 eV per atom
**E_form**: -0.035 eV/atom
**Raw total energy**: -30.34 eV per formula unit
**M_tot**: 1.1 Bohr magnetons per cell

a b c (Å): 6.7012 6.7012 2.6959
angles (deg): 90.00 90.00 90.00
Closest atoms and distances in Å follow each position.
Element x y z (fractional)
Al: 0.1724 0.3276 0.0000  6 Co 2.33-2.43
Al: 0.3276 0.8276 0.0000  6 Co 2.33-2.43
Al: 0.6724 0.1724 0.0000  6 Co 2.33-2.43
Al: 0.8276 0.6724 0.0000  6 Co 2.33-2.43
Fe: 0.0000 0.0000 0.5000  4 Co 2.64, 2 Fe 2.70, 8 Al 2.82
Fe: 0.5000 0.5000 0.5000  4 Co 2.64, 2 Fe 2.70, 8 Al 2.82
Co: 0.1266 0.6266 0.5000  6 Al 2.33-2.43, 1 Co 2.40
Co: 0.3734 0.1266 0.5000  6 Al 2.33-2.43, 1 Co 2.40
Co: 0.6266 0.8734 0.5000  6 Al 2.33-2.43, 1 Co 2.40
Co: 0.8734 0.3734 0.5000  6 Al 2.33-2.43, 1 Co 2.40



Entry 4:
Computed, not measured: an optimized crystal structure of AlFeCo2 at the PBE level of DFT.

**V**: 46.27 Å³/f.u.
**Density of states at the Fermi level**: 0.314 states/eV per atom
**Crystal system**: tetragonal
**E_form**: -0.324 eV/atom
**Raw total energy**: -27.71 eV per formula unit
**M_tot**: 4.9 Bohr magnetons per cell

a b c (Å): 4.0053 4.0053 2.8839
angles (deg): 90.00 90.00 90.00
Closest atoms and distances in Å follow each position.
Element x y z (fractional)
Al: 0.0000 0.0000 0.0000  8 Co 2.47
Fe: 0.5000 0.5000 0.0000  8 Co 2.47
Co: 0.0000 0.5000 0.5000  4 Fe 2.47, 4 Al 2.47
Co: 0.5000 0.0000 0.5000  4 Fe 2.47, 4 Al 2.47



Entry 5:
Computed, not measured: an optimized crystal structure of AlFeCo2 at the PBE level of DFT.

**V**: 47.05 Å³/f.u.
**Density of states at the Fermi level**: 0.840 states/eV per atom
**Crystal system**: monoclinic
**E_form**: -0.156 eV/atom
**Raw total energy**: -27.04 eV per formula unit
**M_tot**: 5.2 Bohr magnetons per cell

a b c (Å): 2.5533 3.9265 4.7729
angles (deg): 90.00 100.51 90.00
Closest atoms and distances in Å follow each position.
Element x y z (fractional)
Al: 0.0000 0.0000 0.0000  4 Co 2.49, 2 Fe 2.49, 2 Al 2.55
Fe: 0.5000 0.0000 0.5000  4 Co 2.40, 2 Al 2.49, 2 Fe 2.55
Co: 0.2892 0.5000 0.7454  2 Fe 2.40, 4 Co 2.47-2.55, 2 Al 2.49
Co: 0.7108 0.5000 0.2546  2 Fe 2.40, 4 Co 2.47-2.55, 2 Al 2.49



Entry 6:
Computed, not measured: an optimized crystal structure of AlFe5Co4 at the PBE level of DFT.

**V**: 129.56 Å³/f.u.
**Density of states at the Fermi level**: 0.698 states/eV per atom
**Crystal system**: monoclinic
**E_form**: 0.146 eV/atom
**Raw total energy**: -73.02 eV per formula unit
**M_tot**: 19.1 Bohr magnetons per cell

a b c (Å): 6.2366 6.2366 5.5729
angles (deg): 90.75 90.75 36.71
Closest atoms and distances in Å follow each position.
Element x y z (fractional)
Al: 0.0000 0.0000 0.0000  6 Co 2.42-2.44
Fe: 0.0000 0.0000 0.5000  6 Co 2.38-2.39
Fe: 0.3282 0.3282 0.5107  5 Co 2.34-2.47
Fe: 0.3295 0.3295 0.9899  5 Co 2.35-2.48
Fe: 0.6705 0.6705 0.0101  5 Co 2.35-2.48
Fe: 0.6718 0.6718 0.4893  5 Co 2.34-2.47
Co: 0.1662 0.1662 0.7467  7 Fe 2.34-2.45, 1 Al 2.44
Co: 0.4972 0.4972 0.2548  6 Fe 2.39-2.48, 2 Al 2.42
Co: 0.5028 0.5028 0.7452  6 Fe 2.39-2.48, 2 Al 2.42
Co: 0.8338 0.8338 0.2533  7 Fe 2.34-2.45, 1 Al 2.44



Entry 7:
Computed, not measured: an optimized crystal structure of Al2FeCo at the PBE level of DFT.

**V**: 46.84 Å³/f.u.
**Density of states at the Fermi level**: 0.709 states/eV per atom
**Crystal system**: tetragonal
**E_form**: -0.477 eV/atom
**Raw total energy**: -24.96 eV per formula unit
**M_tot**: 0.6 Bohr magnetons per cell

a b c (Å): 4.0610 4.0610 2.8403
angles (deg): 90.00 90.00 90.00
Closest atoms and distances in Å follow each position.
Element x y z (fractional)
Al: 0.0000 0.5000 0.0000  4 Fe 2.48, 4 Co 2.48
Al: 0.5000 0.0000 0.0000  4 Fe 2.48, 4 Co 2.48
Fe: 0.0000 0.0000 0.5000  8 Al 2.48
Co: 0.5000 0.5000 0.5000  8 Al 2.48



Entry 8:
Computed, not measured: an optimized crystal structure of Al4FeCo at the PBE level of DFT.

**V**: 85.71 Å³/f.u.
**Density of states at the Fermi level**: 0.824 states/eV per atom
**Crystal system**: cubic
**E_form**: 0.279 eV/atom
**Raw total energy**: -28.86 eV per formula unit
**M_tot**: 2.4 Bohr magnetons per cell

a b c (Å): 4.9489 4.9489 4.9489
angles (deg): 60.00 60.00 60.00
Closest atoms and distances in Å follow each position.
Element x y z (fractional)
Al: 0.1249 0.1249 0.1249  6 Al 2.47-2.48
Al: 0.1249 0.1249 0.6253  6 Al 2.47-2.48
Al: 0.1249 0.6253 0.1249  6 Al 2.47-2.48
Al: 0.6253 0.1249 0.1249  6 Al 2.47-2.48
Fe: 0.5000 0.5000 0.5000  12 Al 2.90, 4 Co 3.03
Co: 0.7500 0.7500 0.7500  12 Al 2.90, 4 Fe 3.03



Entry 9:
Computed, not measured: an optimized crystal structure of AlFeCo2 at the PBE level of DFT.

**V**: 46.74 Å³/f.u.
**Density of states at the Fermi level**: 0.895 states/eV per atom
**Crystal system**: orthorhombic
**E_form**: -0.159 eV/atom
**Raw total energy**: -27.05 eV per formula unit
**M_tot**: 4.8 Bohr magnetons per cell

a b c (Å): 2.6010 3.5835 5.0151
angles (deg): 90.00 90.00 90.00
Closest atoms and distances in Å follow each position.
Element x y z (fractional)
Al: 0.0000 0.0000 0.0000  6 Co 2.49-2.53, 4 Fe 2.60, 2 Al 2.60
Fe: 0.5000 0.5000 0.7298  6 Co 2.47-2.55, 4 Al 2.60, 2 Fe 2.60
Co: 0.0000 0.0000 0.4965  2 Al 2.49-2.53, 4 Fe 2.50, 6 Co 2.57-2.60
Co: 0.5000 0.5000 0.2376  2 Fe 2.47-2.55, 4 Al 2.51, 6 Co 2.57-2.60



Entry 10:
Computed, not measured: an optimized crystal structure of AlFeCo2 at the PBE level of DFT.

**V**: 46.64 Å³/f.u.
**Density of states at the Fermi level**: 1.029 states/eV per atom
**Crystal system**: orthorhombic
**E_form**: -0.182 eV/atom
**Raw total energy**: -27.15 eV per formula unit
**M_tot**: 5.0 Bohr magnetons per cell

a b c (Å): 4.6288 4.6288 4.6288
angles (deg): 142.55 128.36 65.51
Closest atoms and distances in Å follow each position.
Element x y z (fractional)
Al: 0.0000 0.0000 0.0000  8 Co 2.48-2.78, 4 Fe 2.50
Fe: 0.5000 0.5000 0.0000  4 Co 2.42, 4 Al 2.50
Co: 0.2550 0.7550 0.5000  2 Fe 2.42, 2 Al 2.48, 4 Co 2.51
Co: 0.7450 0.2450 0.5000  2 Fe 2.42, 2 Al 2.48, 4 Co 2.51



Entry 11:
Computed, not measured: an optimized crystal structure of Al2FeCo at the PBE level of DFT.

**V**: 46.82 Å³/f.u.
**Density of states at the Fermi level**: 0.733 states/eV per atom
**Crystal system**: orthorhombic
**E_form**: -0.474 eV/atom
**Raw total energy**: -24.95 eV per formula unit
**M_tot**: 1.2 Bohr magnetons per cell

a b c (Å): 4.0533 2.8514 8.1023
angles (deg): 90.00 90.00 90.00
Closest atoms and distances in Å follow each position.
Element x y z (fractional)
Al: 0.2500 0.0000 0.1258  6 Co 2.47-2.48, 2 Fe 2.48
Al: 0.2500 0.0000 0.6256  6 Fe 2.48, 2 Co 2.49
Al: 0.7500 0.0000 0.3744  6 Fe 2.48, 2 Co 2.49
Al: 0.7500 0.0000 0.8742  6 Co 2.47-2.48, 2 Fe 2.48
Fe: 0.2500 0.5000 0.3757  8 Al 2.48
Fe: 0.7500 0.5000 0.6243  8 Al 2.48
Co: 0.2500 0.5000 0.8771  8 Al 2.47-2.49
Co: 0.7500 0.5000 0.1229  8 Al 2.47-2.49



Entry 12:
Computed, not measured: an optimized crystal structure of Al6FeCo at the PBE level of DFT.

**V**: 123.70 Å³/f.u.
**Density of states at the Fermi level**: 0.444 states/eV per atom
**Crystal system**: monoclinic
**E_form**: 0.021 eV/atom
**Raw total energy**: -37.86 eV per formula unit
**M_tot**: 0.0 Bohr magnetons per cell

a b c (Å): 4.4739 4.4739 6.8896
angles (deg): 93.84 93.84 115.29
Closest atoms and distances in Å follow each position.
Element x y z (fractional)
Al: 0.0967 0.0967 0.1741  1 Fe 2.35, 1 Co 2.40, 1 Al 2.46
Al: 0.2147 0.5581 0.6811  1 Fe 2.47, 1 Co 2.55, 4 Al 2.60-2.67
Al: 0.4419 0.7853 0.3189  1 Fe 2.47, 1 Co 2.55, 4 Al 2.60-2.67
Al: 0.5581 0.2147 0.6811  1 Fe 2.47, 1 Co 2.55, 4 Al 2.60-2.67
Al: 0.7853 0.4419 0.3189  1 Fe 2.47, 1 Co 2.55, 4 Al 2.60-2.67
Al: 0.9033 0.9033 0.8259  1 Fe 2.35, 1 Co 2.40, 1 Al 2.46
Fe: 0.0000 0.0000 0.5000  6 Al 2.35-2.47
Co: 0.5000 0.5000 0.0000  6 Al 2.40-2.55